Run i
HPt2Rh: optimized geometry, PBE.

Unit cell a=4.244 b=4.244 c=4.244 alpha=60.00 beta=60.00 gamma=60.00
Positions (direct):
Pt 0.750 0.750 0.750
H 0.000 0.000 0.000
Pt 0.250 0.250 0.250
Rh 0.500 0.500 0.500

- D(E_F): 3.4 states/eV per cell
- Crystal system: cubic
- Mass density: 15.2 g/cm3

***

Run ii
HPt2Rh: optimized geometry, PBE.

Unit cell a=2.720 b=2.720 c=8.173 alpha=80.42 beta=80.42 gamma=60.00
Last column: magnetic moment on the atom in μB.
Positions (direct):
H 0.500 0.500 0.500  0.00
Rh 0.000 0.000 0.000  0.39
Pt 0.109 0.109 0.672  0.02
Pt 0.891 0.891 0.328  0.02

- D(E_F): 3.8 states/eV per cell
- Crystal system: trigonal
- Mass density: 16.0 g/cm3

***

Which of them is most stable, and which least? Most stable: run ii; least stable: run i.

***

Run i
HPt2Rh: optimized geometry, PBE.

Unit cell a=2.760 b=2.760 c=8.085 alpha=75.00 beta=75.00 gamma=59.52
Last column: magnetic moment on the atom in μB.
Positions (direct):
H 0.493 0.493 0.981  0.00
Pt 0.376 0.376 0.206  0.19
Rh 0.559 0.559 0.506  0.99
Pt 0.072 0.072 0.807  0.24

- D(E_F): 3.1 states/eV per cell
- Crystal system: monoclinic
- Mass density: 16.2 g/cm3

***

Run ii
HPt2Rh: optimized geometry, PBE.

Unit cell a=6.126 b=6.126 c=5.097 alpha=53.06 beta=53.06 gamma=90.00
Positions (direct):
H 0.250 0.750 0.500
Rh 0.750 0.250 0.500
H 0.500 0.500 0.000
Pt 0.526 0.125 0.250
Pt 0.875 0.776 0.750
Rh 0.000 0.000 0.000
Pt 0.375 0.474 0.750
Pt 0.224 0.625 0.250

- D(E_F): 2.4 states/eV per cell
- Crystal system: tetragonal
- Mass density: 16.3 g/cm3

***

Which of them is most stable, and which least? Most stable: run i; least stable: run ii.

***

Run i
HRuPtRh2: optimized geometry, PBE.

Unit cell a=3.922 b=3.922 c=3.915 alpha=90.00 beta=90.00 gamma=90.00
Positions (direct):
Ru 0.000 0.000 0.500
Rh 0.500 0.000 0.000
H 0.000 0.000 0.000
Rh 0.000 0.500 0.000
Pt 0.500 0.500 0.500

- D(E_F): 6.3 states/eV per cell
- Crystal system: tetragonal
- Mass density: 13.9 g/cm3

***

Run ii
HRuPtRh2: optimized geometry, PBE.

Unit cell a=3.921 b=3.921 c=3.943 alpha=90.00 beta=90.00 gamma=90.00
Positions (direct):
Rh 0.500 0.000 0.000
Rh 0.000 0.500 0.000
Ru 0.500 0.500 0.500
H 0.000 0.000 0.000
Pt 0.000 0.000 0.500

- D(E_F): 6.8 states/eV per cell
- Crystal system: tetragonal
- Mass density: 13.8 g/cm3

***

Which of them is most stable, and which least? Most stable: run i; least stable: run ii.

***

Run i
ScHPt2Rh: optimized geometry, PBE.

Unit cell a=5.040 b=3.139 c=5.040 alpha=90.00 beta=90.00 gamma=90.00
Positions (direct):
Pt 0.500 0.000 0.000
Sc 0.500 0.500 0.500
Pt 0.000 0.000 0.500
H 0.000 0.500 0.000
Rh 0.000 0.000 0.000

- D(E_F): 6.1 states/eV per cell
- Crystal system: tetragonal
- Mass density: 11.2 g/cm3

***

Run ii
ScHPt2Rh: optimized geometry, PBE.

Unit cell a=4.018 b=4.018 c=4.077 alpha=90.00 beta=90.00 gamma=90.00
Positions (direct):
Sc 0.500 0.500 0.500
H 0.000 0.000 0.000
Pt 0.000 0.500 0.000
Pt 0.500 0.000 0.000
Rh 0.000 0.000 0.500

- D(E_F): 3.3 states/eV per cell
- Crystal system: tetragonal
- Mass density: 13.6 g/cm3

***

Which of them is most stable, and which least? Most stable: run ii; least stable: run i.

***

Run i
ScHPtRh2: optimized geometry, PBE.

Unit cell a=4.022 b=4.022 c=3.969 alpha=90.00 beta=90.00 gamma=90.00
Positions (direct):
Rh 0.000 0.500 0.000
Rh 0.500 0.000 0.000
H 0.000 0.000 0.000
Pt 0.000 0.000 0.500
Sc 0.500 0.500 0.500

- D(E_F): 3.4 states/eV per cell
- Crystal system: tetragonal
- Mass density: 11.6 g/cm3

***

Run ii
ScHPtRh2: optimized geometry, PBE.

Unit cell a=3.941 b=3.941 c=4.111 alpha=90.00 beta=90.00 gamma=90.00
Positions (direct):
Pt 0.500 0.500 0.500
Rh 0.000 0.500 0.000
Rh 0.500 0.000 0.000
H 0.000 0.000 0.000
Sc 0.000 0.000 0.500

- D(E_F): 4.1 states/eV per cell
- Crystal system: tetragonal
- Mass density: 11.6 g/cm3

***

Which of them is most stable, and which least? Most stable: run ii; least stable: run i.

***

Run i
TaHPt2Rh: optimized geometry, PBE.

Unit cell a=4.000 b=4.000 c=4.076 alpha=90.00 beta=90.00 gamma=90.00
Positions (direct):
H 0.000 0.000 0.000
Pt 0.000 0.500 0.000
Pt 0.500 0.000 0.000
Rh 0.000 0.000 0.500
Ta 0.500 0.500 0.500

- D(E_F): 5.0 states/eV per cell
- Crystal system: tetragonal
- Mass density: 17.2 g/cm3

***

Run ii
TaHPt2Rh: optimized geometry, PBE.

Unit cell a=3.942 b=3.942 c=4.209 alpha=90.00 beta=90.00 gamma=90.00
Positions (direct):
Pt 0.000 0.500 0.000
Pt 0.500 0.000 0.000
Rh 0.500 0.500 0.500
Ta 0.000 0.000 0.500
H 0.000 0.000 0.000

- D(E_F): 3.6 states/eV per cell
- Crystal system: tetragonal
- Mass density: 17.1 g/cm3

***

Which of them is most stable, and which least? Most stable: run i; least stable: run ii.

***

Run i
TaHPtRh2: optimized geometry, PBE.

Unit cell a=4.013 b=4.013 c=3.929 alpha=90.00 beta=90.00 gamma=90.00
Positions (direct):
Rh 0.000 0.500 0.000
Ta 0.500 0.500 0.500
Pt 0.000 0.000 0.500
Rh 0.500 0.000 0.000
H 0.000 0.000 0.000

- D(E_F): 0.6 states/eV per cell
- Crystal system: tetragonal
- Mass density: 15.3 g/cm3

***

Run ii
TaHPtRh2: optimized geometry, PBE.

Unit cell a=3.946 b=3.946 c=4.063 alpha=90.00 beta=90.00 gamma=90.00
Positions (direct):
H 0.000 0.000 0.000
Rh 0.500 0.000 0.000
Pt 0.500 0.500 0.500
Rh 0.000 0.500 0.000
Ta 0.000 0.000 0.500

- D(E_F): 2.1 states/eV per cell
- Crystal system: tetragonal
- Mass density: 15.3 g/cm3

***

Which of them is most stable, and which least? Most stable: run i; least stable: run ii.

***

Run i
Tc2HPtRh: optimized geometry, PBE.

Unit cell a=3.889 b=3.889 c=4.011 alpha=90.00 beta=90.00 gamma=90.00
Positions (direct):
Rh 0.000 0.000 0.500
H 0.000 0.000 0.000
Tc 0.500 0.000 0.000
Tc 0.000 0.500 0.000
Pt 0.500 0.500 0.500

- D(E_F): 5.3 states/eV per cell
- Crystal system: tetragonal
- Mass density: 13.6 g/cm3

***

Run ii
Tc2HPtRh: optimized geometry, PBE.

Unit cell a=3.887 b=3.887 c=4.028 alpha=90.00 beta=90.00 gamma=90.00
Positions (direct):
Tc 0.500 0.000 0.000
Rh 0.500 0.500 0.500
H 0.000 0.000 0.000
Pt 0.000 0.000 0.500
Tc 0.000 0.500 0.000

- D(E_F): 5.4 states/eV per cell
- Crystal system: tetragonal
- Mass density: 13.5 g/cm3

***

Which of them is most stable, and which least? Most stable: run i; least stable: run ii.